1.
Computed, not measured: CsCuCl2 at its PBEsol-relaxed geometry at the SCAN level of DFT.

The space group is I-42d (No. 122) and the conventional cell measures 7.378, 7.378 and 7.815 Å, with angles of 90.00, 90.00 and 90.00 degrees. The asymmetric unit holds Cs at (0.000, 0.000, 0.000), Cu at (0.000, 0.000, 0.500) and Cl at (0.132, 0.750, 0.625).

The calculation puts the total magnetization at 0.0 Bohr magnetons per cell. As for the crystal system: tetragonal. The formation energy from raw total energies comes out at -5.381 eV/f.u.



2.
Computed, not measured: CsCu3Cl at its PBEsol-relaxed geometry at the SCAN level of DFT.

The space group is Pm-3m (No. 221) and the conventional cell measures 4.852, 4.852 and 4.852 Å, with angles of 90.00, 90.00 and 90.00 degrees. The asymmetric unit holds Cs at (0.000, 0.000, 0.000), Cu at (0.000, 0.500, 0.500) and Cl at (0.500, 0.500, 0.500).

The calculation puts the total magnetization at 0.0 Bohr magnetons per cell. As for the crystal system: cubic. The formation energy from raw total energies comes out at 4.384 eV/f.u.



> Which of these has the lowest formation energy from raw total energies?

CsCuCl2



> Which of these has the lowest formation energy from raw total energies?

CsCuCl2